# Tm3Pu2ThTe6 | the Alexandria database | PBE-GGA | relaxed
# Formation energy (no corrections) = -1317 kJ/mol of formula units
# Space group = No. 12
data_Tm3Pu2ThTe6
_cell_length_a 4.304
_cell_length_b 8.876
_cell_length_c 9.839
_cell_angle_alpha 104.67
_cell_angle_beta 102.63
_cell_angle_gamma 90.00
_symmetry_space_group_name_H-M 'P 1'
_symmetry_Int_Tables_number 1
loop_
_symmetry_equiv_pos_as_xyz
'x,y,z'
loop_
_atom_site_label
_atom_site_fract_x
_atom_site_fract_y
_atom_site_fract_z
Pu1 0.165 0.330 0.330
Pu2 0.835 0.670 0.670
Tm1 0.165 0.833 0.331
Tm2 0.835 0.167 0.669
Tm3 0.500 0.500 0.000
Te1 0.003 0.739 0.005
Te2 0.997 0.261 0.995
Te3 0.329 0.922 0.658
Te4 0.671 0.078 0.342
Te5 0.335 0.412 0.670
Te6 0.665 0.588 0.330
Th1 0.500 0.000 0.000